Compound: YNiSb
Source: OQMD
Functional: PBE
Structure: optimized geometry

Geometry as POSCAR:
```
YNiSb
1.0
7.0544 0.0000 0.0000
-3.5272 6.1093 0.0000
0.0000 0.0000 4.3223
Y Ni Sb
3 3 3
Cartesian
-2.0244 3.5063 0.0000
1.5028 2.6029 0.0000
4.0487 0.0000 0.0000
-0.8641 1.4967 2.1612
1.7282 0.0000 2.1612
2.6631 4.6126 2.1612
0.0000 0.0000 0.0000
0.0000 4.0728 2.1612
3.5272 2.0364 2.1612
```

Summary:
Total moment, Bohr magnetons per cell: 0.00
Space-group type: No. 189
E_tot, eV per cell: -54.96

=====

Compound: YNiSb
Source: OQMD
Functional: PBE
Structure: optimized geometry

Geometry as POSCAR:
```
YNiSb
1.0
7.2018 0.0000 0.0000
-3.6009 6.2370 0.0000
0.0000 0.0000 4.0977
Y Ni Sb
3 3 3
Cartesian
-2.2016 3.8132 0.0000
1.3994 2.4237 0.0000
4.4031 0.0000 0.0000
0.0000 0.0000 0.0000
0.0000 4.1580 2.0489
3.6009 2.0790 2.0489
-1.0014 1.7345 2.0489
2.0028 0.0000 2.0489
2.5995 4.5025 2.0489
```

Summary:
Total moment, Bohr magnetons per cell: 0.01
Space-group type: No. 189
E_tot, eV per cell: -55.20

=====

Compound: ZnNiSb
Source: OQMD
Functional: PBE
Structure: optimized geometry

Geometry as POSCAR:
```
ZnNiSb
1.0
7.1447 0.0000 0.0000
-3.5723 6.1875 0.0000
0.0000 0.0000 3.5707
Zn Ni Sb
3 3 3
Cartesian
-1.0062 1.7428 0.0000
2.0124 0.0000 0.0000
2.5662 4.4447 0.0000
-2.2888 3.9644 1.7853
1.2835 2.2231 1.7853
4.5777 0.0000 1.7853
0.0000 0.0000 1.7853
0.0000 4.1250 0.0000
3.5723 2.0625 0.0000
```

Summary:
Total moment, Bohr magnetons per cell: 0.00
Space-group type: No. 189
Energy above the lowest structure with this stoichiometry, meV per atom: 510.8
E_tot, eV per cell: -30.42

=====

Compound: ZnNiSb
Source: OQMD
Functional: PBE
Structure: optimized geometry

Geometry as POSCAR:
```
ZnNiSb
1.0
4.0769 0.0000 0.0000
-2.0384 3.5307 0.0000
0.0000 0.0000 7.7904
Zn Ni Sb
2 2 2
Cartesian
0.0000 2.3538 0.0000
2.0384 1.1769 3.8952
0.0000 0.0000 1.4882
0.0000 0.0000 5.3834
0.0000 2.3538 2.5907
2.0384 1.1769 6.4859
```

Summary:
Total moment, Bohr magnetons per cell: 0.01
Space-group type: No. 186
Energy above the lowest structure with this stoichiometry, meV per atom: 485.5
E_tot, eV per cell: -20.43

=====

Compound: ZnNiSb
Source: OQMD
Functional: PBE
Structure: optimized geometry

Geometry as POSCAR:
```
ZnNiSb
1.0
7.5660 0.0000 0.0000
-3.7830 6.5524 0.0000
0.0000 0.0000 3.2036
Zn Ni Sb
3 3 3
Cartesian
0.0000 0.0000 0.0000
0.0000 4.3682 1.6018
3.7830 2.1841 1.6018
-2.1848 3.7841 0.0000
1.5982 2.7682 0.0000
4.3695 0.0000 0.0000
-1.1380 1.9710 1.6018
2.2759 0.0000 1.6018
2.6450 4.5813 1.6018
```

Summary:
Total moment, Bohr magnetons per cell: 0.02
Space-group type: No. 189
Energy above the lowest structure with this stoichiometry, meV per atom: 476.1
E_tot, eV per cell: -30.73

=====

Compound: ZnNiSb
Source: OQMD
Functional: PBE
Structure: optimized geometry

Geometry as POSCAR:
```
ZnNiSb
1.0
6.6470 0.0000 0.0000
0.0000 3.6967 0.0000
0.0000 0.0000 7.9924
Zn Ni Sb
4 4 4
Cartesian
0.8116 0.9242 0.4337
2.5119 2.7725 4.4299
4.1351 0.9242 3.5624
5.8355 2.7725 7.5586
1.6217 0.9242 2.8742
1.7018 2.7725 6.8704
4.9453 0.9242 1.1220
5.0253 2.7725 5.1182
0.4705 0.9242 5.3218
2.8531 2.7725 1.3256
3.7940 0.9242 6.6667
6.1766 2.7725 2.6706
```

Summary:
Total moment, Bohr magnetons per cell: 0.00
Space-group type: No. 62
Energy above the lowest structure with this stoichiometry, meV per atom: 131.3
E_tot, eV per cell: -45.11

=====

Compound: ZnNiSb
Source: OQMD
Functional: PBE
Structure: optimized geometry

Geometry as POSCAR:
```
ZnNiSb
1.0
6.6563 0.0000 0.0000
0.0000 3.8385 0.0000
0.0000 0.0000 7.9585
Zn Ni Sb
4 4 4
Cartesian
0.8225 0.9596 0.3085
2.5057 2.8789 4.2878
4.1506 0.9596 3.6707
5.8338 2.8789 7.6500
1.0378 0.9596 5.7183
2.2903 2.8789 1.7390
4.3659 0.9596 6.2195
5.6185 2.8789 2.2402
0.8645 0.9596 2.9789
2.4636 2.8789 6.9581
4.1927 0.9596 1.0004
5.7918 2.8789 4.9797
```

Summary:
Total moment, Bohr magnetons per cell: 0.00
Space-group type: No. 62
Energy above the lowest structure with this stoichiometry, meV per atom: 288.6
E_tot, eV per cell: -43.22

=====

Compound: ZnNiSb
Source: OQMD
Functional: PBE
Structure: optimized geometry

Geometry as POSCAR:
```
ZnNiSb
1.0
4.3642 0.0000 0.0000
-2.1821 3.7795 0.0000
0.0000 0.0000 6.3470
Zn Ni Sb
2 2 2
Cartesian
0.0000 0.0000 0.0000
0.0000 0.0000 3.1735
0.0000 2.5197 1.5867
2.1821 1.2598 4.7602
0.0000 2.5197 4.7602
2.1821 1.2598 1.5867
```

Summary:
Total moment, Bohr magnetons per cell: 0.00
Space-group type: No. 194
Energy above the lowest structure with this stoichiometry, meV per atom: 364.1
E_tot, eV per cell: -21.16

=====

Compound: ZnNiSb
Source: OQMD
Functional: PBE
Structure: optimized geometry

Geometry as POSCAR:
```
ZnNiSb
1.0
5.9420 0.0000 0.0000
0.0000 5.9420 0.0000
0.0000 0.0000 5.9420
Zn Ni Sb
4 4 4
Cartesian
0.0000 0.0000 0.0000
0.0000 2.9710 2.9710
2.9710 0.0000 2.9710
2.9710 2.9710 0.0000
1.4855 1.4855 4.4565
1.4855 4.4565 1.4855
4.4565 1.4855 1.4855
4.4565 4.4565 4.4565
0.0000 0.0000 2.9710
0.0000 2.9710 0.0000
2.9710 0.0000 0.0000
2.9710 2.9710 2.9710
```

Summary:
Total moment, Bohr magnetons per cell: 0.00
Space-group type: No. 216
Energy above the lowest structure with this stoichiometry, meV per atom: 0.0
E_tot, eV per cell: -46.69

=====

Compound: ZnNiSb
Source: OQMD
Functional: PBE
Structure: optimized geometry

Geometry as POSCAR:
```
ZnNiSb
1.0
6.6173 0.0000 0.0000
-3.3087 5.7308 0.0000
0.0000 0.0000 4.2700
Zn Ni Sb
3 3 3
Cartesian
-1.3869 2.4022 0.0000
2.7738 0.0000 0.0000
1.9217 3.3286 0.0000
-0.7607 1.3176 2.1350
1.5214 0.0000 2.1350
2.5480 4.4132 2.1350
0.0000 0.0000 0.0000
0.0000 3.8205 2.1350
3.3087 1.9103 2.1350
```

Summary:
Total moment, Bohr magnetons per cell: 0.00
Space-group type: No. 189
Energy above the lowest structure with this stoichiometry, meV per atom: 214.3
E_tot, eV per cell: -33.09

=====

Compound: ZnNiSb
Source: OQMD
Functional: PBE
Structure: optimized geometry

Geometry as POSCAR:
```
ZnNiSb
1.0
4.6315 0.0000 0.0000
-2.3157 4.0110 0.0000
0.0000 0.0000 5.5022
Zn Ni Sb
2 2 2
Cartesian
0.0000 2.6740 1.3755
2.3157 1.3370 4.1266
0.0000 0.0000 0.0000
0.0000 0.0000 2.7511
0.0000 2.6740 4.1266
2.3157 1.3370 1.3755
```

Summary:
Total moment, Bohr magnetons per cell: 0.00
Space-group type: No. 194
Energy above the lowest structure with this stoichiometry, meV per atom: 500.3
E_tot, eV per cell: -20.34

=====

Compound: ZrNiSb
Source: OQMD
Functional: PBE
Structure: optimized geometry

Geometry as POSCAR:
```
ZrNiSb
1.0
6.7866 0.0000 0.0000
0.0000 4.1607 0.0000
0.0000 0.0000 7.7181
Zr Ni Sb
4 4 4
Cartesian
0.0080 1.0402 1.4692
3.3852 3.1205 5.3282
3.4013 1.0402 2.3898
6.7785 3.1205 6.2489
1.2494 1.0402 4.5468
2.1439 3.1205 0.6878
4.6427 1.0402 7.0303
5.5372 3.1205 3.1712
1.3853 3.1205 3.1397
2.0080 1.0402 6.9987
4.7785 3.1205 0.7194
5.4013 1.0402 4.5784
```

Summary:
Total moment, Bohr magnetons per cell: 0.00
Space-group type: No. 62
E_tot, eV per cell: -80.72

=====

no.,density (kg/m³)
1,7203
2,7290
3,7759
4,7282
5,7712
6,8315
7,8031
8,7800
9,7784
10,7564
11,7989
12,8280